# Cr2B2F PBE+U relaxed
data_Cr2B2F
_symmetry_space_group_name_H-M 'I 4/m m m'
_symmetry_Int_Tables_number 139
_symmetry_space_group_name_Hall '-I 4 2'
_cell_length_a 2.8917
_cell_length_b 2.8917
_cell_length_c 13.3424
_cell_angle_alpha 90.00
_cell_angle_beta 90.00
_cell_angle_gamma 90.00
loop_
_atom_site_label
_atom_site_fract_x
_atom_site_fract_y
_atom_site_fract_z
Cr1 0.0000 0.0000 0.1196
B1 0.0000 0.5000 0.2500
F1 0.0000 0.0000 0.5000
# density	4.30	g/cm³
# electronic total energy	-5.97	eV/atom